SmPbF: optimized geometry, PBE-GGA.

Lattice parameters (Å, degrees): 5.379 3.982 3.982 120.00 90.00 90.00
Sites, in units of the cell vectors:
Sm: 0.166 0.000 0.000
Pb: 0.667 0.667 0.333
F: 0.167 0.333 0.667

Values from the calculation:
ΔE_f (raw) (meV/atom): -1863
N(E_F) (states/eV/f.u.): 0.9
Distance to the lowest polymorph of the same formula (eV per atom): 0.000
Symmetry: P-6m2 (187)

Pr2Tm3Tl4: optimized geometry, PBE-GGA.

Lattice parameters (Å, degrees): 7.088 8.927 9.221 90.00 112.60 90.00
Sites, in units of the cell vectors:
Tm: 0.000 0.000 0.000
Tl: 0.792 0.250 0.084
Tm: 0.500 0.500 0.000
Pr: 0.607 0.920 0.214
Tl: 0.292 0.250 0.084
Tm: 0.030 0.750 0.560
Tl: 0.819 0.043 0.639
Tl: 0.181 0.957 0.361
Pr: 0.107 0.580 0.214
Tl: 0.319 0.457 0.639
Pr: 0.893 0.420 0.786
Pr: 0.393 0.080 0.786
Tl: 0.681 0.543 0.361
Tm: 0.530 0.750 0.560
Tm: 0.970 0.250 0.440
Tl: 0.708 0.750 0.916
Tl: 0.208 0.750 0.916
Tm: 0.470 0.250 0.440

Values from the calculation:
Formation enthalpy at 0 K (eV per atom): -0.25
N(E_F) (states/eV/f.u.): 8.7
Symmetry: Cmce (64)

K2RbAgHg: optimized geometry, PBE-GGA.

Lattice parameters (Å, degrees): 6.596 6.596 5.614 90.00 90.00 90.00
Sites, in units of the cell vectors:
Ag: 0.000 0.000 0.500
K: 0.000 0.500 0.000
Rb: 0.500 0.500 0.500
Hg: 0.000 0.000 0.000
K: 0.500 0.000 0.000

Values from the calculation:
Formation enthalpy at 0 K (eV per atom): 0.02
N(E_F) (states/eV/f.u.): 2.9
Distance to the lowest polymorph of the same formula (eV per atom): 0.032
Symmetry: P4/mmm (123)

MgTlPb2: optimized geometry, PBE-GGA.

Lattice parameters (Å, degrees): 5.945 5.945 5.945 131.60 131.60 70.85
Sites, in units of the cell vectors:
Mg: 0.750 0.250 0.500
Tl: 0.250 0.750 0.500
Pb: 0.500 0.500 0.000
Pb: 0.000 0.000 0.000

Values from the calculation:
Formation enthalpy at 0 K (eV per atom): 0.00
N(E_F) (states/eV/f.u.): 1.2
Symmetry: I4/mmm (139)

AlCo2P: optimized geometry, PBE-GGA.

Lattice parameters (Å, degrees): 4.074 4.074 4.074 60.00 60.00 60.00
Sites, in units of the cell vectors:
Al: 0.500 0.500 0.500
P: 0.750 0.750 0.750
Co: 0.250 0.250 0.250
Co: 0.000 0.000 0.000

Values from the calculation:
Formation enthalpy at 0 K (eV per atom): 0.07
N(E_F) (states/eV/f.u.): 5.7
Distance to the lowest polymorph of the same formula (eV per atom): 0.473
Symmetry: F-43m (216)

Li5Cd2Ag2Hg: optimized geometry, PBE-GGA.

Lattice parameters (Å, degrees): 3.802 9.928 9.928 90.00 90.00 90.00
Sites, in units of the cell vectors:
Li: 0.500 0.913 0.188
Hg: 0.000 0.500 0.500
Li: 0.500 0.087 0.812
Li: 0.500 0.000 0.500
Li: 0.500 0.688 0.413
Ag: 0.000 0.128 0.628
Cd: 0.000 0.167 0.333
Li: 0.500 0.413 0.312
Li: 0.500 0.587 0.688
Li: 0.500 0.188 0.087
Cd: 0.000 0.333 0.833
Cd: 0.000 0.667 0.167
Ag: 0.000 0.872 0.372
Li: 0.500 0.812 0.913
Ag: 0.000 0.372 0.128
Li: 0.500 0.500 0.000
Li: 0.500 0.312 0.587
Hg: 0.000 0.000 0.000
Cd: 0.000 0.833 0.667
Ag: 0.000 0.628 0.872

Values from the calculation:
Formation enthalpy at 0 K (eV per atom): -0.19
N(E_F) (states/eV/f.u.): 3.0
Symmetry: P4/mbm (127)

LaWSe: optimized geometry, PBE-GGA.

Lattice parameters (Å, degrees): 5.142 5.142 5.142 60.00 60.00 60.00
Sites, in units of the cell vectors:
La: 0.750 0.750 0.750
Se: 0.000 0.000 0.000
W: 0.500 0.500 0.500

Values from the calculation:
ΔE_f (raw) (meV/atom): 1054
N(E_F) (states/eV/f.u.): 2.4
Distance to the lowest polymorph of the same formula (eV per atom): 1.107
Symmetry: F-43m (216)

NdAsI: optimized geometry, PBE-GGA.

Lattice parameters (Å, degrees): 4.026 4.026 6.309 108.61 108.61 90.00
Sites, in units of the cell vectors:
As: 0.287 0.287 0.573
I: 0.010 0.010 0.020
Nd: 0.703 0.703 0.407

Values from the calculation:
ΔE_f (raw) (meV/atom): -852
N(E_F) (states/eV/f.u.): 2.4
Symmetry: I4mm (107)

LiRe3: optimized geometry, PBE-GGA.

Lattice parameters (Å, degrees): 5.334 5.334 4.500 90.00 90.00 93.65
Sites, in units of the cell vectors:
Re: 0.941 0.396 0.250
Li: 0.444 0.556 0.250
Re: 0.604 0.059 0.250
Li: 0.556 0.444 0.750
Re: 0.059 0.604 0.750
Re: 0.912 0.088 0.750
Re: 0.088 0.912 0.250
Re: 0.396 0.941 0.750

Values from the calculation:
Formation enthalpy at 0 K (eV per atom): 0.48
N(E_F) (states/eV/f.u.): 4.0
Distance to the lowest polymorph of the same formula (eV per atom): 0.297
Symmetry: Cmcm (63)

YAs2Ir2: optimized geometry, PBE-GGA.

Lattice parameters (Å, degrees): 4.529 4.529 5.604 66.16 66.16 90.00
Sites, in units of the cell vectors:
Ir: 0.643 0.643 0.714
As: 0.250 0.750 0.500
As: 0.750 0.250 0.500
Y: 0.000 0.000 0.000
Ir: 0.357 0.357 0.286

Values from the calculation:
Formation enthalpy at 0 K (eV per atom): -0.59
N(E_F) (states/eV/f.u.): 2.3
Symmetry: I4/mmm (139)

NdUTeSe2: optimized geometry, PBE-GGA.

Lattice parameters (Å, degrees): 4.621 4.621 7.719 107.42 107.42 90.00
Sites, in units of the cell vectors:
Se: 0.247 0.747 0.493
U: 0.131 0.131 0.262
Te: 0.503 0.503 0.006
Nd: 0.873 0.873 0.746
Se: 0.747 0.247 0.493

Values from the calculation:
ΔE_f (raw) (meV/atom): -998
N(E_F) (states/eV/f.u.): 7.7
Symmetry: I4mm (107)

Zr2TaBiP: optimized geometry, PBE-GGA.

Lattice parameters (Å, degrees): 5.408 5.114 5.408 90.00 90.00 90.00
Sites, in units of the cell vectors:
Bi: 0.000 0.000 0.000
Zr: 0.000 0.000 0.500
Zr: 0.500 0.000 0.000
P: 0.500 0.500 0.500
Ta: 0.000 0.500 0.000

Values from the calculation:
Formation enthalpy at 0 K (eV per atom): 1.75
N(E_F) (states/eV/f.u.): 10.3
Symmetry: P4/mmm (123)

What is the N(E_F) in the twelfth record? 10.3 states/eV/f.u.

The highest N(E_F) belongs to which entry? Zr2TaBiP